An optimized crystal structure of Ti2BiTe, computed with PBE-GGA.

Output
Formation energy from raw total energies, eV/atom: -0.2156
Energy above the lowest structure with this stoichiometry, meV per atom: 176.3
SG: R3m
E_tot, eV per atom: -5.919

a = 3.8452 Å, b = 3.8452 Å, c = 7.5289 Å
α = 75.20°, β = 75.20°, γ = 60.00°
Last column: magnetic moment on the atom in μB.
Fractional coordinates of all 4 atoms:
Bi  0.4997  0.4997  0.5009  -0.03
Ti  0.0807  0.0807  0.7580  0.79
Ti  0.2529  0.2529  0.2412  0.04
Te  0.6667  0.6667  0.9999  -0.01



An optimized crystal structure of TiBi3Te, computed with PBE-GGA.

Output
Formation energy from raw total energies, eV/atom: 0.2213
Energy above the lowest structure with this stoichiometry, meV per atom: 0.0
SG: Pm-3m
E_tot, eV per atom: -4.315

a = 5.4205 Å, b = 5.4205 Å, c = 5.4205 Å
α = 90.00°, β = 90.00°, γ = 90.00°
Fractional coordinates of all 5 atoms:
Ti  0.0000  0.0000  0.0000
Bi  0.0000  0.5000  0.0000
Bi  0.5000  0.0000  0.0000
Te  0.5000  0.5000  0.5000
Bi  0.0000  0.0000  0.5000



An optimized crystal structure of TiBiTe2, computed with PBE-GGA.

Output
Formation energy from raw total energies, eV/atom: 0.0280
SG: I-42d
E_tot, eV per atom: -4.487

a = 7.2829 Å, b = 7.2829 Å, c = 7.6004 Å
α = 61.37°, β = 61.37°, γ = 90.00°
Last column: magnetic moment on the atom in μB.
Fractional coordinates of all 8 atoms:
Bi  0.0000  0.0000  0.0000  0.30
Te  0.8750  0.8223  0.7500  -0.03
Te  0.5723  0.1250  0.2500  -0.04
Ti  0.2500  0.7500  0.5000  1.27
Te  0.3750  0.4277  0.7500  -0.04
Ti  0.5000  0.5000  0.0000  1.26
Te  0.1777  0.6250  0.2500  -0.03
Bi  0.7500  0.2500  0.5000  0.30



An optimized crystal structure of Ti2BiTe2, computed with PBE-GGA.

Output
Formation energy from raw total energies, eV/atom: -0.3628
SG: P4/mbm
E_tot, eV per atom: -5.554

a = 8.0382 Å, b = 8.0382 Å, c = 3.5273 Å
α = 90.00°, β = 90.00°, γ = 90.00°
Fractional coordinates of all 10 atoms:
Te  0.3557  0.1443  0.5000
Te  0.8557  0.3557  0.5000
Te  0.6443  0.8557  0.5000
Ti  0.3629  0.8629  0.0000
Ti  0.6371  0.1371  0.0000
Bi  0.0000  0.0000  0.0000
Ti  0.8629  0.6371  0.0000
Te  0.1443  0.6443  0.5000
Ti  0.1371  0.3629  0.0000
Bi  0.5000  0.5000  0.0000